1.
PmThPd6 (GGA-PBE, relaxed); symmetry = P4/mmm, No. 123; density of states at the Fermi level = 0.323 states/eV/atom; ΔE_f = -88.6 kJ per mole of atoms; crystal system = tetragonal
1.0
4.198 0.000 0.000
0.000 4.198 0.000
0.000 0.000 8.387
Pd Pm Th
6 1 1
direct
0.500 0.000 0.253
0.500 0.000 0.747
0.000 0.500 0.253
0.000 0.500 0.747
0.500 0.500 0.500
0.500 0.500 0.000
0.000 0.000 0.000
0.000 0.000 0.500

=====

2.
Pr12Tm7Th (GGA-PBE, relaxed); symmetry = R-3, No. 148; density of states at the Fermi level = 1.814 states/eV/atom; ΔE to the lowest computed polymorph = 0 meV/atom; ΔE_f = 21.6 kJ per mole of atoms; crystal system = trigonal
1.0
8.598 1.085 1.628
-1.349 8.561 1.628
-1.349 -1.795 8.527
Pr Tm Th
12 7 1
direct
0.380 0.854 0.504
0.269 0.131 0.728
0.854 0.504 0.380
0.131 0.728 0.269
0.728 0.269 0.131
0.620 0.146 0.496
0.869 0.272 0.731
0.504 0.380 0.854
0.146 0.496 0.620
0.731 0.869 0.272
0.272 0.731 0.869
0.496 0.620 0.146
0.853 0.624 0.942
0.058 0.147 0.376
0.376 0.058 0.147
0.624 0.942 0.853
0.147 0.376 0.058
0.500 0.500 0.500
0.942 0.853 0.624
0.000 0.000 0.000

=====

3.
Er2HfGe3Pt4 (GGA-PBE, relaxed); symmetry = P-4m2, No. 115; density of states at the Fermi level = 0.907 states/eV/atom; ΔE_f = -89.7 kJ per mole of atoms; crystal system = tetragonal
1.0
4.129 0.000 0.000
0.000 4.129 0.000
0.000 0.000 11.268
Hf Pt Ge Er
1 4 3 2
direct
0.500 0.500 0.500
0.500 0.000 0.648
0.500 0.500 0.000
0.000 0.500 0.352
0.000 0.000 0.000
0.000 0.500 0.136
0.000 0.000 0.500
0.500 0.000 0.864
0.500 0.000 0.223
0.000 0.500 0.777

=====

4.
BaMnCl (GGA-PBE, relaxed); symmetry = F-43m, No. 216; density of states at the Fermi level = 0.540 states/eV/atom; ΔE to the lowest computed polymorph = 102 meV/atom; crystal system = cubic
1.0
5.274 0.000 0.000
2.637 4.568 0.000
2.637 1.523 4.307
Mn Ba Cl
1 1 1
direct
0.000 0.000 0.000
0.500 0.500 0.500
0.750 0.750 0.750

=====

5.
Ca2TeBr2 (GGA-PBE, relaxed); symmetry = C2/m, No. 12; density of states at the Fermi level = 0.000 states/eV/atom; ΔE to the lowest computed polymorph = 0 meV/atom; crystal system = monoclinic
1.0
-2.454 -3.638 0.494
3.706 -0.146 -2.398
5.389 -2.466 8.607
Ca Te Br
2 1 2
direct
0.169 0.338 0.682
0.831 0.662 0.318
0.500 0.000 0.500
0.163 0.326 0.177
0.837 0.674 0.823

=====

6.
VOs2W (GGA-PBE, relaxed); symmetry = P4/mmm, No. 123; density of states at the Fermi level = 0.573 states/eV/atom; ΔE to the lowest computed polymorph = 0 meV/atom; ΔE_f = -5.9 kJ per mole of atoms; crystal system = tetragonal
1.0
2.896 0.000 0.000
0.000 2.896 0.000
0.000 0.000 6.959
Os V W
2 1 1
direct
0.000 0.000 0.777
0.000 0.000 0.223
0.500 0.500 0.000
0.500 0.500 0.500

=====

7.
KNaLiMg (GGA-PBE, relaxed); symmetry = F-43m, No. 216; density of states at the Fermi level = 0.429 states/eV/atom; ΔE_f = 14.6 kJ per mole of atoms; crystal system = cubic
1.0
-0.029 4.562 3.551
-4.983 1.880 2.249
-1.086 -0.727 5.632
K Na Li Mg
1 1 1 1
direct
0.250 0.250 0.250
0.500 0.500 0.500
0.000 0.000 0.000
0.750 0.750 0.750

=====

8.
ThFeRe (GGA-PBE, relaxed); symmetry = Imma, No. 74; density of states at the Fermi level = 1.117 states/eV/atom; ΔE to the lowest computed polymorph = 0 meV/atom; ΔE_f = -3.7 kJ per mole of atoms; crystal system = orthorhombic
1.0
4.755 0.000 2.670
1.601 4.444 2.718
0.071 0.260 5.443
Re Fe Th
2 2 2
direct
0.500 0.000 0.500
0.500 0.500 0.000
0.000 0.000 0.000
0.500 0.000 0.000
0.873 0.377 0.377
0.127 0.623 0.623

=====

9.
Ta2ZnCr (GGA-PBE, relaxed); symmetry = Cmmm, No. 65; density of states at the Fermi level = 0.984 states/eV/atom; ΔE_f = 12.2 kJ per mole of atoms; crystal system = orthorhombic
1.0
-1.949 0.459 -1.936
-1.055 -1.670 1.963
-2.756 6.937 4.419
Ta Cr Zn
2 1 1
direct
0.000 0.000 0.984
0.000 0.000 0.516
0.500 0.500 0.750
0.500 0.500 0.250

=====

10.
LiAcAlCd (GGA-PBE, relaxed); symmetry = F-43m, No. 216; density of states at the Fermi level = 0.455 states/eV/atom; ΔE_f = -15.5 kJ per mole of atoms; crystal system = cubic
1.0
5.182 0.000 0.000
2.591 4.487 0.000
2.591 1.496 4.231
Al Ac Li Cd
1 1 1 1
direct
0.000 0.000 0.000
0.750 0.750 0.750
0.500 0.500 0.500
0.250 0.250 0.250

=====

11.
CrInCo2 (GGA-PBE, relaxed); symmetry = P4/mmm, No. 123; density of states at the Fermi level = 0.749 states/eV/atom; ΔE_f = 13.9 kJ per mole of atoms; crystal system = tetragonal
1.0
2.969 0.000 0.000
0.000 2.969 0.000
0.000 0.000 6.054
Cr Co In
1 2 1
direct
0.500 0.500 0.250
0.000 0.000 0.035
0.000 0.000 0.465
0.500 0.500 0.750

=====

12.
Be2NiRu (GGA-PBE, relaxed); symmetry = I-4m2, No. 119; density of states at the Fermi level = 0.623 states/eV/atom; ΔE_f = -16.8 kJ per mole of atoms; crystal system = tetragonal
1.0
-4.319 0.839 1.216
-3.369 -0.468 -3.045
3.593 -2.366 1.527
Be Ni Ru
2 1 1
direct
0.000 0.000 0.000
0.250 0.750 0.500
0.500 0.500 0.000
0.750 0.250 0.500